DFT (PBE-GGA) results for crystalline Sc2RhI at its relaxed geometry.

a b c (Å): 8.544 8.544 8.544
angles (deg): 27.12 27.12 27.12
Element x y z (fractional)
1 I 0.000 0.000 0.000
2 Sc 0.884 0.884 0.884
3 Sc 0.116 0.116 0.116
4 Rh 0.500 0.500 0.500

Summary:
total magnetic moment: 0.000 μB/atom
formation energy (no corrections): -0.68 eV per atom
N(E_F): 0.0 states/eV/cell
SG: R-3m
calculated total energy: -24.28 eV for the cell shown

DFT (PBE-GGA) results for crystalline MgTaOs at its relaxed geometry.

a b c (Å): 5.454 5.454 5.454
angles (deg): 145.47 145.51 49.60
Element x y z (fractional)
1 Mg 0.992 0.992 0.000
2 Os 0.320 0.320 0.000
3 Ta 0.688 0.688 0.000

Summary:
total magnetic moment: 0.002 μB/atom
N(E_F): 3.9 states/eV/cell
SG: I4mm
calculated total energy: -24.65 eV for the cell shown

DFT (PBE-GGA) results for crystalline LuCu4Si at its relaxed geometry.

a b c (Å): 4.969 4.969 4.969
angles (deg): 60.00 60.00 60.00
Element x y z (fractional)
1 Si 0.250 0.250 0.250
2 Lu 0.000 0.000 0.000
3 Cu 0.625 0.625 0.126
4 Cu 0.625 0.126 0.625
5 Cu 0.625 0.625 0.625
6 Cu 0.126 0.625 0.625

Summary:
total magnetic moment: 0.000 μB/atom
formation energy (no corrections): -0.14 eV per atom
N(E_F): 4.3 states/eV/cell
SG: F-43m
calculated total energy: -27.20 eV for the cell shown